Below is an optimized crystal structure of GaCu2S8, with properties calculated at the PBE level.

```
GaCu2S8
1.0
-2.2902 2.0728 2.0603
-5.4326 -3.9375 -4.1442
8.3540 -0.5274 10.5912
Ga Cu S
1 2 8
Direct
0.5000 0.0000 0.0000
0.1560 0.7312 0.4884
0.8440 0.2688 0.5116
0.6255 0.5902 0.3223
0.3087 0.2347 0.7323
0.0985 0.2609 0.3381
0.9566 0.8983 0.0728
0.9015 0.7391 0.6619
0.6913 0.7653 0.2677
0.3745 0.4098 0.6777
0.0434 0.1017 0.9272
```

Calculated values
ΔE_f (raw) ... -0.0914 eV/atom